No. 1
AlPb | PBE | optimized geometry

Structure (extended XYZ):
```
4
Lattice="6.314 0.085 0.055 4.564 4.364 0.055 4.564 1.867 3.945" Properties=species:S:1:pos:R:3 pbc="T T T"
Pb 13.779 5.636 3.618
Pb 1.663 0.680 0.437
Al 4.947 2.024 1.299
Al 10.495 4.293 2.756
```

Calculated values
Magnetization   0.00 μB/atom
ΔE_f   211 meV per atom



No. 2
AlPb2 | PBE | optimized geometry

Structure (extended XYZ):
```
9
Lattice="-0.182 4.634 -6.187 -6.273 -0.745 4.459 1.514 3.735 2.754" Properties=species:S:1:pos:R:3 pbc="T T T"
Pb -1.837 3.431 0.682
Pb 0.648 4.640 -2.324
Pb -4.785 2.883 -1.281
Pb -2.996 1.422 4.044
Pb -1.623 -0.193 1.153
Pb -0.047 1.199 -1.600
Al -2.213 2.841 -2.638
Al 0.757 1.868 1.377
Al -4.243 1.048 0.910
```

Calculated values
Magnetization   0.00 μB/atom
ΔE_f   199 meV per atom



No. 3
Al2Pb | PBE | optimized geometry

Structure (extended XYZ):
```
6
Lattice="2.481 -5.414 -0.348 4.931 -3.356 -0.037 0.085 -1.212 7.347" Properties=species:S:1:pos:R:3 pbc="T T T"
Al 0.339 -1.437 6.839
Al 2.095 -2.949 3.005
Al 3.042 -4.398 5.126
Al 4.990 -6.667 4.788
Pb 0.159 -0.574 2.548
Pb 5.704 -6.813 0.123
```

Calculated values
Magnetization   0.00 μB/atom
ΔE_f   213 meV per atom



No. 4
AlPb2 | PBE | optimized geometry

Structure (extended XYZ):
```
3
Lattice="4.930 0.000 0.000 0.000 4.930 0.000 0.000 0.000 3.713" Properties=species:S:1:pos:R:3 pbc="T T T"
Al 0.000 0.000 0.000
Pb 2.465 0.000 1.857
Pb 0.000 2.465 1.857
```

Calculated values
Magnetization   0.00 μB/atom
ΔE_f   238 meV per atom



No. 5
Al2Pb | PBE | optimized geometry

Structure (extended XYZ):
```
6
Lattice="-2.134 2.134 8.094 2.134 -2.134 8.094 2.134 2.134 -8.094" Properties=species:S:1:pos:R:3 pbc="T T T"
Al 2.134 0.000 5.344
Al 0.000 0.000 9.391
Al 0.000 0.000 6.798
Al 2.134 0.000 2.750
Pb 0.000 0.000 0.000
Pb 0.000 2.134 4.047
```

Calculated values
Magnetization   0.00 μB/atom
ΔE_f   269 meV per atom



No. 6
AlPb3 | PBE | optimized geometry

Structure (extended XYZ):
```
8
Lattice="9.345 -4.895 -0.116 5.150 -8.296 3.995 -8.274 4.697 -4.558" Properties=species:S:1:pos:R:3 pbc="T T T"
Pb 4.159 -3.397 -1.367
Pb 1.810 -1.647 0.484
Pb -1.562 -1.800 -0.282
Pb 0.536 -0.099 -2.337
Pb 2.061 -5.097 0.688
Pb 12.685 -11.544 3.395
Al 5.445 -4.955 1.457
Al 9.050 -8.236 2.422
```

Calculated values
Magnetization   0.00 μB/atom
ΔE_f   176 meV per atom
Energy relative to the lowest polymorph listed for this composition   0.047 eV per atom



No. 7
Al3Pb2 | PBE | optimized geometry

Structure (extended XYZ):
```
10
Lattice="0.000 4.953 7.987 3.007 0.000 7.987 3.007 4.953 0.000" Properties=species:S:1:pos:R:3 pbc="T T T"
Al 1.175 2.476 3.993
Al 5.355 8.150 13.925
Al 3.851 4.231 9.932
Al 3.851 5.674 6.041
Al 5.686 4.953 7.987
Al 5.355 6.707 10.035
Pb 3.832 9.114 11.283
Pb 2.328 6.638 8.683
Pb 2.328 3.267 7.290
Pb 3.832 5.743 12.676
```

Calculated values
Magnetization   0.00 μB/atom
ΔE_f   200 meV per atom
Energy relative to the lowest polymorph listed for this composition   0.000 eV per atom



No. 8
Al2Pb | PBE | optimized geometry

Structure (extended XYZ):
```
6
Lattice="2.673 -7.927 0.000 2.673 7.927 0.000 0.000 0.000 3.200" Properties=species:S:1:pos:R:3 pbc="T T T"
Al 2.673 -1.138 0.800
Al 2.673 -3.517 2.400
Al 2.673 3.517 0.800
Al 2.673 1.138 2.400
Pb 2.673 -6.226 0.800
Pb 2.673 6.226 2.400
```

Calculated values
Magnetization   0.00 μB/atom
ΔE_f   230 meV per atom



No. 9
Al3Pb2 | PBE | optimized geometry

Structure (extended XYZ):
```
5
Lattice="0.164 3.056 3.077 -1.944 -3.794 0.812 6.881 -2.973 2.586" Properties=species:S:1:pos:R:3 pbc="T T T"
Al 1.686 -2.775 2.667
Al 0.000 0.000 0.000
Al 3.415 -0.935 3.808
Pb 4.242 -3.880 3.628
Pb 0.858 0.169 2.847
```

Calculated values
Magnetization   0.00 μB/atom
ΔE_f   316 meV per atom
Energy relative to the lowest polymorph listed for this composition   0.116 eV per atom



No. 10
AlPb | PBE | optimized geometry

Structure (extended XYZ):
```
12
Lattice="-8.330 2.328 -3.093 1.348 -1.364 8.983 0.964 4.082 0.475" Properties=species:S:1:pos:R:3 pbc="T T T"
Al -2.151 3.308 4.071
Al -4.283 2.159 -0.480
Al -3.867 1.737 2.295
Al 0.422 2.589 5.026
Al -6.439 2.456 1.339
Al -1.735 2.887 6.845
Pb -5.323 4.091 3.776
Pb -4.198 1.437 5.544
Pb -5.999 4.776 -0.731
Pb -0.695 0.954 2.589
Pb -0.018 0.270 7.096
Pb -1.820 3.608 0.821
```

Calculated values
Magnetization   0.00 μB/atom
ΔE_f   188 meV per atom